Record 1
## YAu (PBE-GGA)

Data for crystalline YAu at its relaxed geometry.

Calculated values
- electronic total energy (eV/cell) = -10.24
- symmetry = F-43m, No. 216
- energy relative to the elements (eV/atom) = -0.25

POSCAR file:
```
YAu
1.0
-2.290 -1.174 -3.811
-3.036 -3.451 0.114
-4.499 0.884 -0.343
Au Y
1 1
Cartesian
0.000 0.000 0.000
-2.456 -0.935 -1.010
```

---

Record 2
## YAu2 (PBE-GGA)

Data for crystalline YAu2 at its relaxed geometry.

Calculated values
- electronic total energy (eV/cell) = -14.39
- symmetry = P4/mmm, No. 123
- energy relative to the elements (eV/atom) = -0.46

POSCAR file:
```
YAu2
1.0
4.257 0.000 0.000
0.000 4.257 0.000
0.000 0.000 4.218
Au Y
2 1
Cartesian
0.000 2.129 2.109
2.129 0.000 2.109
0.000 0.000 0.000
```

---

Record 3
## Y3Au (PBE-GGA)

Data for crystalline Y3Au at its relaxed geometry.

Calculated values
- electronic total energy (eV/cell) = -23.54
- symmetry = Pmm2, No. 25
- energy relative to the elements (eV/atom) = -0.22

POSCAR file:
```
Y3Au
1.0
3.699 0.000 0.000
0.000 3.604 0.000
0.000 0.000 9.316
Y Au
3 1
Cartesian
0.000 1.802 4.354
1.850 1.802 1.285
1.850 0.000 6.865
0.000 0.000 9.232
```

---

Record 4
## YAu22 (PBE-GGA)

Data for crystalline YAu22 at its relaxed geometry.

Calculated values
- electronic total energy (eV/cell) = -158.90
- symmetry = Fd-3m, No. 227
- energy relative to the elements (eV/atom) = -0.04

POSCAR file:
```
YAu22
1.0
-6.270 -6.236 6.146
1.668 -10.633 0.349
3.997 -4.534 8.913
Au Y
44 2
Cartesian
2.138 -11.572 9.310
-1.262 -5.475 2.592
2.275 -10.527 3.493
-2.389 -15.164 8.064
0.206 -9.381 5.004
-0.221 -6.656 4.914
-3.430 -13.983 5.742
4.206 -12.717 7.800
-2.823 -12.394 7.973
1.412 -5.031 3.313
2.573 -14.342 9.401
-0.400 -10.970 2.773
0.658 -15.928 12.815
-2.743 -9.831 6.097
-2.879 -10.876 11.914
1.784 -6.239 7.344
-0.205 -10.433 12.635
-3.177 -7.061 6.007
2.219 -9.008 7.434
-2.017 -16.371 12.095
2.825 -7.420 9.665
-4.811 -8.685 7.608
-0.384 -14.747 10.494
-0.811 -12.021 10.404
-0.661 -8.041 7.397
-0.095 -18.712 11.862
-2.415 -9.786 9.117
1.659 -16.967 10.143
0.458 -9.310 9.891
-1.214 -17.444 9.368
-2.264 -4.435 5.265
1.811 -11.617 6.291
-0.510 -2.690 3.545
0.056 -13.362 8.010
-1.063 -12.093 5.516
0.609 -3.959 6.039
0.000 0.000 0.000
2.833 -7.584 4.631
-2.301 -8.434 3.247
0.834 -5.317 0.174
-0.302 -10.701 7.704
-3.135 -3.118 3.073
1.999 -2.267 4.456
-1.137 -5.385 7.529
0.759 -7.992 2.100
-1.363 -13.411 13.307
```

---

Record 5
## YAu (PBE-GGA)

Data for crystalline YAu at its relaxed geometry.

Calculated values
- electronic total energy (eV/cell) = -21.26
- symmetry = P6_3/mmc, No. 194
- energy relative to the elements (eV/atom) = -0.44

POSCAR file:
```
YAu
1.0
4.970 0.000 0.000
-2.485 4.304 0.000
0.000 0.000 5.937
Y Au
2 2
Cartesian
0.000 2.870 1.484
2.485 1.435 4.453
0.000 2.870 4.453
2.485 1.435 1.484
```

---

Record 6
## YAu (PBE-GGA)

Data for crystalline YAu at its relaxed geometry.

Calculated values
- electronic total energy (eV/cell) = -21.26
- symmetry = P-3m1, No. 164
- energy relative to the elements (eV/atom) = -0.45

POSCAR file:
```
YAu
1.0
4.275 0.000 0.000
-2.138 3.703 0.000
0.000 0.000 7.202
Au Y
2 2
Cartesian
0.000 0.000 0.070
0.000 2.468 1.731
0.000 0.000 3.166
0.000 2.468 5.836
```

---

Record 7
## YAu5 (PBE-GGA)

Data for crystalline YAu5 at its relaxed geometry.

Calculated values
- electronic total energy (eV/cell) = -25.21
- symmetry = Immm, No. 71
- energy relative to the elements (eV/atom) = -0.39

POSCAR file:
```
YAu5
1.0
4.663 0.000 1.557
1.723 4.705 2.600
0.722 -0.093 5.598
Y Au
1 5
Cartesian
3.554 2.306 4.878
1.841 2.730 2.246
1.343 0.344 3.737
5.764 4.268 6.018
5.266 1.882 7.509
2.331 0.000 0.779
```

---

Record 8
## Y3Au (PBE-GGA)

Data for crystalline Y3Au at its relaxed geometry.

Calculated values
- electronic total energy (eV/cell) = -24.07
- symmetry = P-6m2, No. 187
- energy relative to the elements (eV/atom) = -0.35

POSCAR file:
```
Y3Au
1.0
-1.467 3.063 1.643
0.945 -2.994 2.092
8.966 3.658 1.185
Au Y
1 3
Cartesian
0.000 0.000 0.000
4.483 1.829 0.592
1.986 -0.222 2.186
7.262 1.931 2.884
```

---

- What is the electronic total energy in the eighth record?
  -24.07 eV/cell